This record from the Alexandria database describes a relaxed K2Cd3Sn2 crystal. The functional is PBE.

abc: 12.8409 4.8881 7.9356
angles: 90.00 120.00 90.00
Last column: nearest neighbours and their distance in Å.
Fractional positions:
1 K 0.1569 0.0000 0.2856  5 Cd 3.46-3.85, 4 Sn 3.66-3.85
2 K 0.3431 0.5000 0.7144  5 Cd 3.46-3.85, 4 Sn 3.66-3.85
3 K 0.6569 0.5000 0.2856  5 Cd 3.46-3.85, 4 Sn 3.66-3.85
4 K 0.8431 0.0000 0.7144  5 Cd 3.46-3.85, 4 Sn 3.66-3.85
5 Cd 0.0000 0.5000 0.5000  2 Cd 3.06, 4 Sn 3.11
6 Cd 0.0922 0.5000 0.9378  2 Cd 2.99-3.06, 3 Sn 3.05-3.06
7 Cd 0.4078 0.0000 0.0622  2 Cd 2.99-3.06, 3 Sn 3.05-3.06
8 Cd 0.5000 0.0000 0.5000  2 Cd 3.06, 4 Sn 3.11
9 Cd 0.5922 0.0000 0.9378  2 Cd 2.99-3.06, 3 Sn 3.05-3.06
10 Cd 0.9078 0.5000 0.0622  2 Cd 2.99-3.06, 3 Sn 3.05-3.06
11 Sn 0.1402 0.0000 0.7565  5 Cd 3.05-3.11
12 Sn 0.3598 0.5000 0.2435  5 Cd 3.05-3.11
13 Sn 0.6402 0.5000 0.7565  5 Cd 3.05-3.11
14 Sn 0.8598 0.0000 0.2435  5 Cd 3.05-3.11

Output
mass density = 5.03 g/cm3
E_form = -0.13 eV/atom
final energy = -0.073 hartree per atom

This record from the Alexandria database describes a relaxed Li2Mg5Al crystal. The functional is PBE.

abc: 7.9867 7.9867 7.9867
angles: 124.61 124.61 82.18
Last column: nearest neighbours and their distance in Å.
Fractional positions:
1 Li 0.1368 0.6368 0.7737  1 Li 2.87, 8 Mg 2.87-2.90
2 Li 0.3632 0.1368 0.5000  1 Li 2.87, 8 Mg 2.87-2.90
3 Li 0.6368 0.8632 0.5000  1 Li 2.87, 8 Mg 2.87-2.90
4 Li 0.8632 0.3632 0.2263  1 Li 2.87, 8 Mg 2.87-2.90
5 Mg 0.0000 0.0000 0.0000  4 Li 2.88, 2 Al 3.01
6 Mg 0.0030 0.8112 0.5000  3 Li 2.87-2.90, 3 Mg 3.01-3.20, 2 Al 3.03
7 Mg 0.1888 0.6888 0.1918  3 Li 2.87-2.90, 3 Mg 3.01-3.20, 2 Al 3.03
8 Mg 0.3112 0.5030 0.5000  3 Li 2.87-2.90, 3 Mg 3.01-3.20, 2 Al 3.03
9 Mg 0.4970 0.9970 0.8082  3 Li 2.87-2.90, 3 Mg 3.01-3.20, 2 Al 3.03
10 Mg 0.5000 0.5000 0.0000  4 Li 2.88, 2 Al 3.01
11 Mg 0.5030 0.0030 0.1918  3 Li 2.87-2.90, 3 Mg 3.01-3.20, 2 Al 3.03
12 Mg 0.6888 0.4970 0.5000  3 Li 2.87-2.90, 3 Mg 3.01-3.20, 2 Al 3.03
13 Mg 0.8112 0.3112 0.8082  3 Li 2.87-2.90, 3 Mg 3.01-3.20, 2 Al 3.03
14 Mg 0.9970 0.1888 0.5000  3 Li 2.87-2.90, 3 Mg 3.01-3.20, 2 Al 3.03
15 Al 0.2500 0.2500 0.0000  10 Mg 3.01-3.03
16 Al 0.7500 0.7500 0.0000  10 Mg 3.01-3.03

Output
mass density = 1.63 g/cm3
E_form = 0.02 eV/atom
final energy = -0.071 hartree per atom

This record from the Alexandria database describes a relaxed Ac2In3Ga2 crystal. The functional is PBE.

abc: 11.7914 4.6540 7.2498
angles: 90.00 100.21 90.00
Last column: nearest neighbours and their distance in Å.
Fractional positions:
1 Ac 0.1254 0.0000 0.3314  5 Ga 3.31-3.45, 5 In 3.48-3.67
2 Ac 0.3746 0.5000 0.6686  5 Ga 3.31-3.45, 5 In 3.48-3.67
3 Ac 0.6254 0.5000 0.3314  5 Ga 3.31-3.45, 5 In 3.48-3.67
4 Ac 0.8746 0.0000 0.6686  5 Ga 3.31-3.45, 5 In 3.48-3.67
5 In 0.0000 0.5000 0.0000  2 Ga 2.97
6 In 0.1900 0.0000 0.8544  2 Ga 2.94, 2 In 3.29
7 In 0.3100 0.5000 0.1456  2 Ga 2.94, 2 In 3.29
8 In 0.5000 0.0000 0.0000  2 Ga 2.97
9 In 0.6900 0.5000 0.8544  2 Ga 2.94, 2 In 3.29
10 In 0.8100 0.0000 0.1456  2 Ga 2.94, 2 In 3.29
11 Ga 0.0865 0.5000 0.6392  1 Ga 2.60
12 Ga 0.4135 0.0000 0.3608  1 Ga 2.60
13 Ga 0.5865 0.0000 0.6392  1 Ga 2.60
14 Ga 0.9135 0.5000 0.3608  1 Ga 2.60

Output
mass density = 7.96 g/cm3
E_form = -0.44 eV/atom
final energy = -0.134 hartree per atom

This record from the Alexandria database describes a relaxed La2ReRu crystal. The functional is PBE.

abc: 5.0421 5.0421 3.5753
angles: 90.00 90.00 90.00
Last column: nearest neighbours and their distance in Å.
Fractional positions:
1 La 0.0000 0.5000 0.0000  4 Re 3.09, 4 Ru 3.09
2 La 0.5000 0.0000 0.0000  4 Re 3.09, 4 Ru 3.09
3 Re 0.0000 0.0000 0.5000  8 La 3.09
4 Ru 0.5000 0.5000 0.5000  8 La 3.09

Output
mass density = 10.32 g/cm3
E_form = 0.38 eV/atom
final energy = -0.276 hartree per atom

This record from the Alexandria database describes a relaxed NaZnHg2F8 crystal. The functional is PBE.

abc: 6.2702 6.2702 6.2702
angles: 112.88 112.88 102.85
Last column: nearest neighbours and their distance in Å.
Fractional positions:
1 Na 0.0000 0.0000 0.0000  4 F 2.22
2 Zn 0.7500 0.2500 0.5000  4 F 2.02
3 Hg 0.2500 0.7500 0.5000  4 F 2.14
4 Hg 0.5000 0.5000 0.0000  4 F 2.21
5 F 0.0288 0.3471 0.3183  1 Hg 2.14, 1 Na 2.22
6 F 0.0288 0.7105 0.6817  1 Hg 2.14, 1 Na 2.22
7 F 0.0770 0.2889 0.7882  1 Zn 2.02, 1 Hg 2.21
8 F 0.2895 0.9712 0.3183  1 Hg 2.14, 1 Na 2.22
9 F 0.5007 0.2889 0.2118  1 Zn 2.02, 1 Hg 2.21
10 F 0.6529 0.9712 0.6817  1 Hg 2.14, 1 Na 2.22
11 F 0.7111 0.4993 0.7882  1 Zn 2.02, 1 Hg 2.21
12 F 0.7111 0.9230 0.2118  1 Zn 2.02, 1 Hg 2.21

Output
mass density = 5.67 g/cm3
uncorrected formation energy = -1.626 eV per atom
final energy = -0.115 hartree per atom

This record from the Alexandria database describes a relaxed KCr2Te crystal. The functional is PBE.

abc: 4.7415 4.7415 9.3818
angles: 90.00 90.00 90.00
Last column: nearest neighbours and their distance in Å.
Fractional positions:
1 K 0.0000 0.0000 0.0000  8 Cr 3.33, 4 Te 3.35
2 K 0.5000 0.5000 0.5000  8 Cr 3.33, 4 Te 3.35
3 Cr 0.0000 0.5000 0.2500  4 K 3.33, 4 Te 3.33, 4 Cr 3.35
4 Cr 0.0000 0.5000 0.7500  4 K 3.33, 4 Te 3.33, 4 Cr 3.35
5 Cr 0.5000 0.0000 0.2500  4 K 3.33, 4 Te 3.33, 4 Cr 3.35
6 Cr 0.5000 0.0000 0.7500  4 K 3.33, 4 Te 3.33, 4 Cr 3.35
7 Te 0.0000 0.0000 0.5000  8 Cr 3.33, 4 K 3.35
8 Te 0.5000 0.5000 0.0000  8 Cr 3.33, 4 K 3.35

Output
mass density = 4.26 g/cm3
uncorrected formation energy = 0.731 eV per atom
final energy = -0.189 hartree per atom

This record from the Alexandria database describes a relaxed URe2Ge crystal. The functional is PBE.

abc: 4.6188 4.6188 12.4646
angles: 90.00 90.00 120.00
Last column: nearest neighbours and their distance in Å.
Fractional positions:
1 U 0.0000 0.0000 0.0000  2 Re 2.44
2 U 0.3333 0.6667 0.6667  2 Re 2.44
3 U 0.6667 0.3333 0.3333  2 Re 2.44
4 Re 0.0000 0.0000 0.1961  1 U 2.44, 3 Ge 2.69
5 Re 0.0000 0.0000 0.8039  1 U 2.44, 3 Ge 2.69
6 Re 0.3333 0.6667 0.4706  1 U 2.44, 3 Ge 2.69
7 Re 0.3333 0.6667 0.8627  1 U 2.44, 3 Ge 2.69
8 Re 0.6667 0.3333 0.1373  1 U 2.44, 3 Ge 2.69
9 Re 0.6667 0.3333 0.5294  1 U 2.44, 3 Ge 2.69
10 Ge 0.0000 0.0000 0.5000  6 Re 2.69
11 Ge 0.3333 0.6667 0.1667  6 Re 2.69
12 Ge 0.6667 0.3333 0.8333  6 Re 2.69

Output
mass density = 14.78 g/cm3
E_form = 0.24 eV/atom
final energy = -0.366 hartree per atom

This record from the Alexandria database describes a relaxed SrYTa4 crystal. The functional is PBE.

abc: 5.8265 5.8265 5.8265
angles: 60.00 60.00 60.00
Last column: nearest neighbours and their distance in Å.
Fractional positions:
1 Sr 0.0000 0.0000 0.0000  12 Ta 3.42, 4 Y 3.57
2 Y 0.2500 0.2500 0.2500  12 Ta 3.42, 4 Sr 3.57
3 Ta 0.1237 0.6254 0.6254  6 Ta 2.90-2.92
4 Ta 0.6254 0.1237 0.6254  6 Ta 2.90-2.92
5 Ta 0.6254 0.6254 0.1237  6 Ta 2.90-2.92
6 Ta 0.6254 0.6254 0.6254  6 Ta 2.90-2.92

Output
mass density = 10.69 g/cm3
E_form = 0.57 eV/atom
final energy = -0.319 hartree per atom

Repeat the third record exactly.
This record from the Alexandria database describes a relaxed Ac2In3Ga2 crystal. The functional is PBE.

abc: 11.7914 4.6540 7.2498
angles: 90.00 100.21 90.00
Last column: nearest neighbours and their distance in Å.
Fractional positions:
1 Ac 0.1254 0.0000 0.3314  5 Ga 3.31-3.45, 5 In 3.48-3.67
2 Ac 0.3746 0.5000 0.6686  5 Ga 3.31-3.45, 5 In 3.48-3.67
3 Ac 0.6254 0.5000 0.3314  5 Ga 3.31-3.45, 5 In 3.48-3.67
4 Ac 0.8746 0.0000 0.6686  5 Ga 3.31-3.45, 5 In 3.48-3.67
5 In 0.0000 0.5000 0.0000  2 Ga 2.97
6 In 0.1900 0.0000 0.8544  2 Ga 2.94, 2 In 3.29
7 In 0.3100 0.5000 0.1456  2 Ga 2.94, 2 In 3.29
8 In 0.5000 0.0000 0.0000  2 Ga 2.97
9 In 0.6900 0.5000 0.8544  2 Ga 2.94, 2 In 3.29
10 In 0.8100 0.0000 0.1456  2 Ga 2.94, 2 In 3.29
11 Ga 0.0865 0.5000 0.6392  1 Ga 2.60
12 Ga 0.4135 0.0000 0.3608  1 Ga 2.60
13 Ga 0.5865 0.0000 0.6392  1 Ga 2.60
14 Ga 0.9135 0.5000 0.3608  1 Ga 2.60

Output
mass density = 7.96 g/cm3
E_form = -0.44 eV/atom
final energy = -0.134 hartree per atom

What is the formula in the sixth record?
KCr2Te

mass density of number 3 (Ac2In3Ga2)?
7.96 g/cm3